K3MoF6: relaxed, PBE with a Hubbard U.

Output
E above lowest polymorph: 0.0845 eV/atom
V: 21.13 Å³/atom
calculated density: 2.6 g/cm³

Cell: 6.9698 8.5193 8.5193 Å, 123.35 90.00 90.00°
Positions (direct):
K 0.9745 0.7052 0.2948
F 0.4762 0.1338 0.2820
F 0.4762 0.7180 0.8662
F 0.2538 0.8124 0.1876
F 0.6193 0.9207 0.4291
K 0.5927 0.3094 0.1351
Mo 0.0455 0.1583 0.8417
F 0.9762 0.2820 0.1338
K 0.0927 0.1351 0.3094
K 0.4745 0.2948 0.7052
F 0.1193 0.4291 0.9207
Mo 0.5455 0.8417 0.1583
F 0.3352 0.1180 0.8820
K 0.0927 0.6906 0.8649
F 0.8352 0.8820 0.1180
F 0.6193 0.5709 0.0793
F 0.9762 0.8662 0.7180
F 0.7538 0.1876 0.8124
K 0.5927 0.8649 0.6906
F 0.1193 0.0793 0.5709